1.
Cs2Tl2Hg: relaxed, GGA-PBE.

POSCAR file:
```
Cs2Tl2Hg
1.0
-2.0195 -7.4299 -0.4903
2.3794 -1.1253 7.2522
-4.0010 -3.2423 4.9133
Tl Hg Cs
2 1 2
direct
0.3405 0.3405 0.3191 Tl
0.6595 0.6595 0.6809 Tl
0.0000 0.0000 0.0000 Hg
0.2500 0.7500 0.5000 Cs
0.7500 0.2500 0.5000 Cs
```

Calculated values
formation enthalpy at 0 K	0.01	eV per atom
relative energy among the computed polymorphs	130	meV per atom



2.
Li5HgPd6: relaxed, GGA-PBE.

POSCAR file:
```
Li5HgPd6
1.0
-5.3692 -4.2265 -3.3479
0.6890 -2.5756 -3.3811
1.6904 -6.1465 2.2848
Li Pd Hg
5 6 1
direct
0.5000 0.5000 0.0000 Li
0.5000 0.1649 0.6703 Li
0.0000 0.6646 0.6708 Li
0.5000 0.8351 0.3297 Li
0.0000 0.3354 0.3292 Li
0.7362 0.0917 0.3449 Pd
0.2638 0.5635 0.3449 Pd
0.7362 0.4365 0.6551 Pd
0.2721 0.2282 0.0000 Pd
0.7279 0.7718 0.0000 Pd
0.2638 0.9083 0.6551 Pd
0.0000 0.0000 0.0000 Hg
```

Calculated values
formation enthalpy at 0 K	-0.39	eV per atom



3.
Cs5Tl4Bi2: relaxed, GGA-PBE.

POSCAR file:
```
Cs5Tl4Bi2
1.0
7.8662 0.0000 0.0000
3.9331 6.7375 1.1392
3.9331 3.1502 10.8831
Cs Tl Bi
5 4 2
direct
0.6421 0.3397 0.8690 Cs
0.3579 0.6603 0.1310 Cs
0.0000 0.5000 0.5000 Cs
0.8507 0.6603 0.1310 Cs
0.1493 0.3397 0.8690 Cs
0.2950 0.8699 0.5401 Tl
0.7050 0.1301 0.4599 Tl
0.3277 0.1008 0.2438 Tl
0.6723 0.8992 0.7562 Tl
0.8454 0.1053 0.2039 Bi
0.1546 0.8947 0.7961 Bi
```

Calculated values
formation enthalpy at 0 K	-0.11	eV per atom



4.
AcB2Rh5: relaxed, GGA-PBE.

POSCAR file:
```
AcB2Rh5
1.0
3.9555 0.0000 0.0000
1.9777 5.7435 0.8550
1.9777 1.8957 5.4887
Rh B Ac
5 2 1
direct
0.3432 0.4402 0.8734 Rh
0.0000 0.5000 0.5000 Rh
0.3432 0.8734 0.4402 Rh
0.6568 0.5598 0.1266 Rh
0.6568 0.1266 0.5598 Rh
0.2130 0.2870 0.2870 B
0.7870 0.7130 0.7130 B
0.0000 0.0000 0.0000 Ac
```

Calculated values
formation enthalpy at 0 K	-0.37	eV per atom



5.
Li2MgIn6: relaxed, GGA-PBE.

POSCAR file:
```
Li2MgIn6
1.0
3.0804 0.0435 0.8371
0.4433 8.3270 4.1852
-0.8042 1.8283 9.1138
Li Mg In
2 1 6
direct
0.8583 0.6413 0.6413 Li
0.1424 0.3586 0.3586 Li
0.9988 0.0001 0.0001 Mg
0.4995 0.6810 0.3190 In
0.6727 0.6469 0.0055 In
0.6727 0.0055 0.6469 In
0.3281 0.9945 0.3531 In
0.3281 0.3531 0.9945 In
0.4995 0.3190 0.6810 In
```

Calculated values
formation enthalpy at 0 K	-0.10	eV per atom
relative energy among the computed polymorphs	0	meV per atom



6.
Mn5CrFe6: relaxed, GGA-PBE.

POSCAR file:
```
Mn5CrFe6
1.0
3.9431 -0.2532 0.6459
-0.0154 5.2020 2.1332
0.9217 0.2306 6.8542
Cr Mn Fe
1 5 6
direct
0.0000 0.0000 0.0000 Cr
0.0000 0.5000 0.0000 Mn
0.3342 0.3341 0.3318 Mn
0.6658 0.6659 0.6682 Mn
0.6661 0.1661 0.6678 Mn
0.3339 0.8339 0.3322 Mn
0.5000 0.2504 0.0000 Fe
0.1666 0.9169 0.6668 Fe
0.1665 0.4163 0.6668 Fe
0.8335 0.5837 0.3332 Fe
0.5000 0.7496 0.0000 Fe
0.8334 0.0831 0.3332 Fe
```

Calculated values
formation enthalpy at 0 K	0.11	eV per atom



7.
KCdOs2: relaxed, GGA-PBE.

POSCAR file:
```
KCdOs2
1.0
-2.6351 -0.6998 1.0868
1.2502 -2.0066 1.7392
1.0813 6.6677 6.9154
Os K Cd
2 1 1
direct
0.5000 0.5000 0.2176 Os
0.0000 0.0000 0.0634 Os
0.5000 0.5000 0.7767 K
0.0000 0.0000 0.4424 Cd
```

Calculated values
formation enthalpy at 0 K	0.61	eV per atom



8.
Si2Sb2C: relaxed, GGA-PBE.

POSCAR file:
```
Si2Sb2C
1.0
-1.7222 4.2551 -3.3277
-3.9166 -3.3891 -2.3066
-4.8975 1.3257 -0.6002
Si Sb C
2 2 1
direct
0.7165 0.7165 0.5670 Si
0.2835 0.2835 0.4330 Si
0.2500 0.7500 0.5000 Sb
0.7500 0.2500 0.5000 Sb
0.0000 0.0000 0.0000 C
```

Calculated values
relative energy among the computed polymorphs	0	meV per atom



Results for V: 272.1; 173.6; 548.6; 118.3; 216.2; 135.0; 83.3; 101.8 (in Å³/cell, following the order of the records).